1.
Below is a relaxed InNi4Se crystal, with properties calculated at the PBE level.

Properties
For the volume, the calculation gives 83.46 Å³/cell. Its space-group type is F-43m (216). The calculation puts the final energy at -4.719 eV/atom.

Unit cell a=4.9053 b=4.9053 c=4.9053 alpha=60.00 beta=60.00 gamma=60.00
Last column: nearest neighbours and their distance in Å.
Sites, in units of the cell vectors:
In1 0.0000 0.0000 0.0000  12 Ni 2.88, 4 Se 3.00
Ni1 0.1253 0.6249 0.6249  6 Ni 2.45
Ni2 0.6249 0.1253 0.6249  6 Ni 2.45
Ni3 0.6249 0.6249 0.1253  6 Ni 2.45
Ni4 0.6249 0.6249 0.6249  6 Ni 2.45
Se1 0.2500 0.2500 0.2500  12 Ni 2.88, 4 In 3.00

=====

2.
Below is a relaxed InNiSe crystal, with properties calculated at the PBE level.

Properties
For the volume, the calculation gives 60.31 Å³/cell. Its space-group type is P3m1 (156). As for the energy above the lowest structure with this stoichiometry: 75 meV/atom.

Unit cell a=3.6786 b=3.6786 c=5.1463 alpha=90.00 beta=90.00 gamma=120.00
Last column: nearest neighbours and their distance in Å.
Sites, in units of the cell vectors:
In1 0.0000 0.0000 0.0000  3 Ni 2.72
Ni1 0.6667 0.3333 0.3293  3 Se 2.35
Se1 0.3333 0.6667 0.5236  3 Ni 2.35

=====

3.
Below is a relaxed InNiSe crystal, with properties calculated at the PBE level.

Properties
For the volume, the calculation gives 63.95 Å³/cell. Its space-group type is I4mm (107). As for the energy above the lowest structure with this stoichiometry: 198 meV/atom.

Unit cell a=6.6936 b=6.6936 c=6.6936 alpha=152.47 beta=152.47 gamma=39.33
Last column: nearest neighbours and their distance in Å.
Sites, in units of the cell vectors:
In1 0.0000 0.0000 0.0000  1 Se 3.11, 4 Ni 3.18, 4 In 3.19
Ni1 0.3214 0.3214 0.0000  4 Se 2.41
Se1 0.7532 0.7532 0.0000  4 Ni 2.41

=====

4.
Below is a relaxed In2NiSe crystal, with properties calculated at the PBE level.

Properties
For the volume, the calculation gives 84.48 Å³/cell. Its space-group type is Pm (6). The calculation puts the final energy at -3.807 eV/atom.

Unit cell a=4.0091 b=3.6084 c=6.1724 alpha=90.00 beta=108.89 gamma=90.00
Last column: nearest neighbours and their distance in Å.
Sites, in units of the cell vectors:
In1 0.0000 0.0000 0.0000  1 Ni 2.63
In2 0.3185 0.5000 0.6338  4 Ni 2.74, 2 Se 3.05-3.06
Ni1 0.7767 0.0000 0.5495  2 Se 2.56, 5 In 2.63-2.74
Se1 0.6200 0.5000 0.2383  2 Ni 2.56

=====

5.
Below is a relaxed InNi2Se crystal, with properties calculated at the PBE level.

Properties
For the volume, the calculation gives 62.29 Å³/cell. Its space-group type is I-4m2 (119). As for the energy above the lowest structure with this stoichiometry: 203 meV/atom.

Unit cell a=5.2364 b=5.2364 c=5.2364 alpha=138.54 beta=138.54 gamma=60.07
Last column: nearest neighbours and their distance in Å.
Sites, in units of the cell vectors:
In1 0.0000 0.0000 0.0000  8 Ni 2.62-2.93, 4 Se 2.93
Ni1 0.2500 0.7500 0.5000  4 Se 2.62, 4 In 2.93, 4 Ni 2.93
Ni2 0.5000 0.5000 0.0000  4 In 2.62, 4 Ni 2.93, 4 Se 2.93
Se1 0.7500 0.2500 0.5000  8 Ni 2.62-2.93, 4 In 2.93

=====

6.
Below is a relaxed InNi2Se crystal, with properties calculated at the PBE level.

Properties
For the volume, the calculation gives 70.51 Å³/cell. Its space-group type is Cm (8). As for the energy above the lowest structure with this stoichiometry: 63 meV/atom.

Unit cell a=4.2932 b=4.2932 c=5.5440 alpha=99.51 beta=99.51 gamma=44.53
Last column: nearest neighbours and their distance in Å.
Sites, in units of the cell vectors:
In1 0.0000 0.0000 0.0000  3 Ni 2.61-2.73
Ni1 0.4865 0.4865 0.4435  3 Se 2.37-2.40, 3 Ni 2.52-2.58
Ni2 0.7485 0.7485 0.2464  2 Se 2.39, 3 Ni 2.52-2.58, 1 In 2.61
Se1 0.2100 0.2100 0.5477  5 Ni 2.37-2.40

=====

7.
Below is a relaxed InNi2Se crystal, with properties calculated at the PBE level.

Properties
For the volume, the calculation gives 64.71 Å³/cell. Its space-group type is F-43m (216). As for the energy above the lowest structure with this stoichiometry: 448 meV/atom.

Unit cell a=4.5064 b=4.5064 c=4.5064 alpha=60.00 beta=60.00 gamma=60.00
Last column: nearest neighbours and their distance in Å.
Sites, in units of the cell vectors:
In1 0.0000 0.0000 0.0000  4 Se 2.76, 4 Ni 2.76
Ni1 0.2500 0.2500 0.2500  4 In 2.76, 4 Ni 2.76
Ni2 0.5000 0.5000 0.5000  4 Se 2.76, 4 Ni 2.76
Se1 0.7500 0.7500 0.7500  4 In 2.76, 4 Ni 2.76

=====

8.
Below is a relaxed In2NiSe crystal, with properties calculated at the PBE level.

Properties
For the volume, the calculation gives 79.71 Å³/cell. Its space-group type is P4/mmm (123). The calculation puts the final energy at -3.601 eV/atom.

Unit cell a=3.1514 b=3.1514 c=8.0264 alpha=90.00 beta=90.00 gamma=90.00
Last column: nearest neighbours and their distance in Å.
Sites, in units of the cell vectors:
In1 0.0000 0.0000 0.2039  4 Ni 2.76
In2 0.0000 0.0000 0.7961  4 Ni 2.76
Ni1 0.5000 0.5000 0.0000  8 In 2.76
Se1 0.5000 0.5000 0.5000  4 Se 3.15, 8 In 3.26

=====

9.
Below is a relaxed InNi2Se crystal, with properties calculated at the PBE level.

Properties
For the volume, the calculation gives 61.42 Å³/cell. Its space-group type is P4/mmm (123). As for the energy above the lowest structure with this stoichiometry: 177 meV/atom.

Unit cell a=4.2875 b=4.2875 c=3.3409 alpha=90.00 beta=90.00 gamma=90.00
Last column: nearest neighbours and their distance in Å.
Sites, in units of the cell vectors:
In1 0.0000 0.0000 0.0000  8 Ni 2.72, 4 Se 3.03
Ni1 0.0000 0.5000 0.5000  4 Se 2.72, 4 In 2.72, 4 Ni 3.03
Ni2 0.5000 0.0000 0.5000  4 Se 2.72, 4 In 2.72, 4 Ni 3.03
Se1 0.5000 0.5000 0.0000  8 Ni 2.72, 4 In 3.03

=====

10.
Below is a relaxed InNiSe crystal, with properties calculated at the PBE level.

Properties
For the volume, the calculation gives 58.99 Å³/cell. Its space-group type is F-43m (216). As for the energy above the lowest structure with this stoichiometry: 136 meV/atom.

Unit cell a=4.3694 b=4.3694 c=4.3694 alpha=60.00 beta=60.00 gamma=60.00
Last column: nearest neighbours and their distance in Å.
Sites, in units of the cell vectors:
In1 0.0000 0.0000 0.0000  4 Ni 2.68
Ni1 0.7500 0.7500 0.7500  4 Se 2.68, 4 In 2.68
Se1 0.5000 0.5000 0.5000  4 Ni 2.68

=====

11.
Below is a relaxed In2NiSe crystal, with properties calculated at the PBE level.

Properties
For the volume, the calculation gives 85.54 Å³/cell. Its space-group type is C2/m (12). The calculation puts the final energy at -3.759 eV/atom.

Unit cell a=3.7904 b=3.7904 c=7.1992 alpha=105.22 beta=105.22 gamma=60.23
Last column: nearest neighbours and their distance in Å.
Sites, in units of the cell vectors:
In1 0.2405 0.2405 0.2215  3 Ni 2.66-2.67, 3 Se 2.90-2.91
In2 0.7595 0.7595 0.7785  3 Ni 2.66-2.67, 3 Se 2.90-2.91
Ni1 0.5000 0.5000 0.0000  6 In 2.66-2.67
Se1 0.0000 0.0000 0.5000  6 In 2.90-2.91

=====

12.
Below is a relaxed InNi2Se crystal, with properties calculated at the PBE level.

Properties
For the volume, the calculation gives 65.54 Å³/cell. Its space-group type is P4mm (99). As for the energy above the lowest structure with this stoichiometry: 0 meV/atom.

Unit cell a=3.2925 b=3.2925 c=6.0460 alpha=90.00 beta=90.00 gamma=90.00
Last column: nearest neighbours and their distance in Å.
Sites, in units of the cell vectors:
In1 0.0000 0.0000 0.0000  5 Ni 2.67-2.81
Ni1 0.0000 0.0000 0.4640  4 Se 2.45
Ni2 0.5000 0.5000 0.2153  1 Se 2.28
Se1 0.5000 0.5000 0.5917  5 Ni 2.28-2.45

=====

13.
Below is a relaxed InNi3Se crystal, with properties calculated at the PBE level.

Properties
For the volume, the calculation gives 84.75 Å³/cell. Its space-group type is Pm-3m (221). As for the energy above the lowest structure with this stoichiometry: 0 meV/atom.

Unit cell a=4.3925 b=4.3925 c=4.3925 alpha=90.00 beta=90.00 gamma=90.00
Last column: nearest neighbours and their distance in Å.
Sites, in units of the cell vectors:
In1 0.0000 0.0000 0.0000  12 Ni 3.11
Ni1 0.0000 0.5000 0.5000  2 Se 2.20
Ni2 0.5000 0.0000 0.5000  2 Se 2.20
Ni3 0.5000 0.5000 0.0000  2 Se 2.20
Se1 0.5000 0.5000 0.5000  6 Ni 2.20

=====

14.
Below is a relaxed InNi2Se crystal, with properties calculated at the PBE level.

Properties
For the volume, the calculation gives 75.40 Å³/cell. Its space-group type is Pm (6). As for the energy above the lowest structure with this stoichiometry: 19 meV/atom.

Unit cell a=3.6747 b=3.6200 c=5.7256 alpha=90.00 beta=98.12 gamma=90.00
Last column: nearest neighbours and their distance in Å.
Sites, in units of the cell vectors:
In1 0.0000 0.0000 0.0000  4 Ni 2.60-2.65
Ni1 0.0870 0.5000 0.3420  2 Se 2.30-2.32, 2 Ni 2.56
Ni2 0.5771 0.0000 0.3273  2 Se 2.34, 4 Ni 2.56-2.60, 1 In 2.60
Se1 0.6437 0.5000 0.5888  4 Ni 2.30-2.34

=====

15.
Below is a relaxed In2NiSe crystal, with properties calculated at the PBE level.

Properties
For the volume, the calculation gives 82.42 Å³/cell. Its space-group type is I-4m2 (119). The calculation puts the final energy at -3.443 eV/atom.

Unit cell a=5.3399 b=5.3399 c=5.3399 alpha=132.00 beta=132.00 gamma=70.23
Last column: nearest neighbours and their distance in Å.
Sites, in units of the cell vectors:
In1 0.0000 0.0000 0.0000  4 Se 3.07, 4 In 3.08, 4 Ni 3.08
In2 0.7500 0.2500 0.5000  4 Ni 3.07, 4 In 3.08, 4 Se 3.08
Ni1 0.2500 0.7500 0.5000  8 In 3.07-3.08, 4 Se 3.08
Se1 0.5000 0.5000 0.0000  8 In 3.07-3.08, 4 Ni 3.08

=====

16.
Below is a relaxed InNi4Se8 crystal, with properties calculated at the PBE level.

Properties
For the volume, the calculation gives 283.38 Å³/cell. Its space-group type is F-43m (216). The calculation puts the final energy at -4.390 eV/atom.

Unit cell a=7.3727 b=7.3727 c=7.3727 alpha=60.00 beta=60.00 gamma=60.00
Last column: nearest neighbours and their distance in Å.
Sites, in units of the cell vectors:
In1 0.0000 0.0000 0.0000  4 Se 2.60
Ni1 0.1437 0.6188 0.6188  6 Se 2.39-2.50
Ni2 0.6188 0.1437 0.6188  6 Se 2.39-2.50
Ni3 0.6188 0.6188 0.1437  6 Se 2.39-2.50
Ni4 0.6188 0.6188 0.6188  6 Se 2.39-2.50
Se1 0.3902 0.3902 0.3902  3 Ni 2.39
Se2 0.3902 0.3902 0.8295  3 Ni 2.39
Se3 0.3902 0.8295 0.3902  3 Ni 2.39
Se4 0.4315 0.8562 0.8562  3 Ni 2.50, 1 In 2.60
Se5 0.8295 0.3902 0.3902  3 Ni 2.39
Se6 0.8562 0.4315 0.8562  3 Ni 2.50, 1 In 2.60
Se7 0.8562 0.8562 0.4315  3 Ni 2.50, 1 In 2.60
Se8 0.8562 0.8562 0.8562  3 Ni 2.50, 1 In 2.60

=====

17.
Below is a relaxed InNi2Se crystal, with properties calculated at the PBE level.

Properties
For the volume, the calculation gives 62.00 Å³/cell. Its space-group type is Fm-3m (225). As for the energy above the lowest structure with this stoichiometry: 229 meV/atom.

Unit cell a=4.4425 b=4.4425 c=4.4425 alpha=60.00 beta=60.00 gamma=60.00
Last column: nearest neighbours and their distance in Å.
Sites, in units of the cell vectors:
In1 0.0000 0.0000 0.0000  8 Ni 2.72
Ni1 0.2500 0.2500 0.2500  4 In 2.72, 4 Se 2.72
Ni2 0.7500 0.7500 0.7500  4 In 2.72, 4 Se 2.72
Se1 0.5000 0.5000 0.5000  8 Ni 2.72

=====

18.
Below is a relaxed InNiSe crystal, with properties calculated at the PBE level.

Properties
For the volume, the calculation gives 65.54 Å³/cell. Its space-group type is F-43m (216). As for the energy above the lowest structure with this stoichiometry: 617 meV/atom.

Unit cell a=4.5257 b=4.5257 c=4.5257 alpha=60.00 beta=60.00 gamma=60.00
Last column: nearest neighbours and their distance in Å.
Sites, in units of the cell vectors:
In1 0.0000 0.0000 0.0000  4 Se 2.77, 4 Ni 2.77
Ni1 0.2500 0.2500 0.2500  4 In 2.77
Se1 0.7500 0.7500 0.7500  4 In 2.77

=====

19.
Below is a relaxed In2NiSe crystal, with properties calculated at the PBE level.

Properties
For the volume, the calculation gives 81.61 Å³/cell. Its space-group type is P2/m (10). The calculation puts the final energy at -3.615 eV/atom.

Unit cell a=3.5417 b=3.5103 c=6.7297 alpha=90.00 beta=102.72 gamma=90.00
Last column: nearest neighbours and their distance in Å.
Sites, in units of the cell vectors:
In1 0.0016 0.0000 0.2747  2 Ni 2.70, 2 Se 2.86
In2 0.9984 0.0000 0.7253  2 Ni 2.70, 2 Se 2.86
Ni1 0.5000 0.5000 0.5000  4 In 2.70
Se1 0.5000 0.5000 0.0000  4 In 2.86

=====

20.
Below is a relaxed In2NiSe crystal, with properties calculated at the PBE level.

Properties
For the volume, the calculation gives 85.97 Å³/cell. Its space-group type is Immm (71). The calculation puts the final energy at -3.504 eV/atom.

Unit cell a=5.2960 b=5.2960 c=5.2960 alpha=138.27 beta=116.53 gamma=78.88
Last column: nearest neighbours and their distance in Å.
Sites, in units of the cell vectors:
In1 0.2270 0.2270 0.0000  2 Ni 2.65, 2 Se 2.92
In2 0.7730 0.7730 0.0000  2 Ni 2.65, 2 Se 2.92
Ni1 0.0000 0.5000 0.5000  4 In 2.65
Se1 0.5000 0.0000 0.5000  4 In 2.92